! LiV2CrO4 (PBE with a Hubbard U, optimized geometry); values from VASP
&SYSTEM
  ibrav = 0, nat = 8, ntyp = 4
/
ATOMIC_SPECIES
Li 6.94 Li.upf
V 50.94 V.upf
Cr 52.00 Cr.upf
O 16.00 O.upf
ATOMIC_POSITIONS angstrom
Li 0.000 0.000 0.000
V -1.202 1.485 2.561
V 1.581 0.000 2.561
Cr 2.784 1.485 0.000
O 0.661 1.485 1.444
O -0.207 0.000 3.787
O 3.370 0.000 1.336
O 2.501 1.485 3.679
CELL_PARAMETERS angstrom
5.567 0.000 0.000
0.000 2.970 0.000
-2.404 0.000 5.123
! M_tot (μB/f.u.): 9.00
! E (eV/atom): -7.326
! Calculated volume (Å³/atom): 10.6